Record 1
# SmTmMgZn, relaxed, DFT PBE
data_SmTmMgZn
_chemical_formula_sum 'Sm1 Tm1 Mg1 Zn1'
_cell_length_a 3.587
_cell_length_b 3.587
_cell_length_c 7.859
_cell_angle_alpha 90.00
_cell_angle_beta 90.00
_cell_angle_gamma 90.00
_space_group_name_H-M_alt 'P 4 m m'
_space_group_IT_number 99
loop_
_space_group_symop_operation_xyz
'x,y,z'
'-y,x,z'
'-x,-y,z'
'y,-x,z'
'-x,y,z'
'y,x,z'
'x,-y,z'
'-y,-x,z'
loop_
_atom_site_label
_atom_site_fract_x
_atom_site_fract_y
_atom_site_fract_z
Sm1 0.000 0.000 0.000
Tm1 0.000 0.000 0.554
Mg1 0.500 0.500 0.287
Zn1 0.500 0.500 0.760
# **Energy**: -3.219 eV per atom
# **Offset from the most stable computed form**: 0.0 meV per atom

Record 2
# Ti6MnAl10, relaxed, DFT PBE
data_Ti6MnAl10
_chemical_formula_sum 'Ti6 Mn1 Al10'
_cell_length_a 7.6675
_cell_length_b 7.6675
_cell_length_c 5.4096
_cell_angle_alpha 90.00
_cell_angle_beta 90.00
_cell_angle_gamma 120.00
_space_group_name_H-M_alt 'P -3 1 m'
_space_group_IT_number 162
_space_group_name_Hall '-P 3 2'
loop_
_atom_site_label
_atom_site_fract_x
_atom_site_fract_y
_atom_site_fract_z
Ti1 0.0000 0.3832 0.2963
Mn1 0.0000 0.0000 0.5000
Al1 0.0000 0.2542 0.8087
Al2 0.3333 0.6667 0.0000
Al3 0.3333 0.6667 0.5000
# **Energy**: -5.713 eV per atom

Calculated formation enthalpy at 0 K, -0.2042; -0.1854 eV/atom (same order as the records).